This record from the Alexandria database describes a geometry-optimized AcTb3Er12 structure. The functional is PBE-GGA.

SG = P4/mmm (123)
Energy of formation from the pure elements = 0.0354 eV/atom
DFT total energy = -4.512 eV/atom
Crystal system = tetragonal

Cell and atoms, written as POSCAR:
```
AcTb3Er12
1.0
5.009 0.000 0.000
0.000 5.009 0.000
0.000 0.000 20.081
Ac Tb Er
1 3 12
Cartesian
0.000 0.000 0.000
0.000 0.000 5.078
0.000 0.000 10.040
0.000 0.000 15.002
0.000 2.504 2.634
0.000 2.504 7.568
0.000 2.504 12.513
0.000 2.504 17.447
2.504 0.000 2.634
2.504 0.000 7.568
2.504 0.000 12.513
2.504 0.000 17.447
2.504 2.504 0.000
2.504 2.504 5.104
2.504 2.504 10.040
2.504 2.504 14.976
```

This record from the Alexandria database describes a geometry-optimized Ac2Tb4Er5 structure. The functional is PBE-GGA.

SG = P-1 (2)
Energy of formation from the pure elements = 0.0502 eV/atom
DFT total energy = -4.455 eV/atom
Crystal system = triclinic

Cell and atoms, written as POSCAR:
```
Ac2Tb4Er5
1.0
6.259 0.000 0.000
-1.040 8.012 0.000
-2.127 -2.697 7.322
Ac Tb Er
2 4 5
Cartesian
0.527 1.747 0.349
2.564 3.568 6.972
-1.554 1.437 4.939
-0.538 4.856 5.615
3.630 0.459 1.706
4.646 3.878 2.383
0.505 -0.744 3.042
1.563 5.110 1.056
1.546 2.658 3.661
1.528 0.205 6.265
2.586 6.059 4.280
```

This record from the Alexandria database describes a geometry-optimized AcTb4Er structure. The functional is PBE-GGA.

SG = C2/m (12)
Energy of formation from the pure elements = 0.0304 eV/atom
DFT total energy = -4.502 eV/atom
Crystal system = monoclinic

Cell and atoms, written as POSCAR:
```
AcTb4Er
1.0
6.325 -3.652 0.000
6.325 3.652 0.000
-2.113 0.000 8.760
Ac Tb Er
2 8 2
Cartesian
1.066 0.000 2.937
9.470 0.000 5.823
4.224 1.797 2.878
1.076 0.000 8.679
6.325 1.775 0.000
6.313 1.797 5.882
4.224 -1.797 2.878
6.325 -1.775 0.000
9.460 0.000 0.081
6.313 -1.797 5.882
3.188 0.000 5.885
7.349 0.000 2.875
```

This record from the Alexandria database describes a geometry-optimized AcTb6Er8 structure. The functional is PBE-GGA.

SG = P-3 (147)
Energy of formation from the pure elements = 0.2137 eV/atom
DFT total energy = -4.346 eV/atom
Crystal system = trigonal

Cell and atoms, written as POSCAR:
```
AcTb6Er8
1.0
9.536 0.000 0.000
-4.768 8.259 0.000
0.000 0.000 6.363
Ac Tb Er
1 6 8
Cartesian
0.000 0.000 0.000
-2.200 5.637 0.534
0.986 3.535 0.534
3.555 0.913 5.829
1.213 7.345 0.534
3.782 4.723 5.829
6.968 2.622 5.829
-1.393 2.803 2.640
-1.644 8.064 2.640
0.000 5.506 4.101
1.731 2.608 3.723
3.037 5.651 2.640
4.768 2.753 2.261
6.412 0.195 3.723
6.161 5.456 3.723
```

This record from the Alexandria database describes a geometry-optimized Ac3Tb12Er structure. The functional is PBE-GGA.

SG = P4/mmm (123)
Energy of formation from the pure elements = 0.0468 eV/atom
DFT total energy = -4.481 eV/atom
Crystal system = tetragonal

Cell and atoms, written as POSCAR:
```
Ac3Tb12Er
1.0
5.141 0.000 0.000
0.000 5.141 0.000
0.000 0.000 20.559
Ac Tb Er
3 12 1
Cartesian
0.000 0.000 0.000
0.000 0.000 5.194
0.000 0.000 15.366
0.000 2.571 2.606
0.000 2.571 7.835
0.000 2.571 12.724
0.000 2.571 17.954
2.571 0.000 2.606
2.571 0.000 7.835
2.571 0.000 12.724
2.571 0.000 17.954
2.571 2.571 0.000
2.571 2.571 5.223
2.571 2.571 10.280
2.571 2.571 15.336
0.000 0.000 10.280
```

This record from the Alexandria database describes a geometry-optimized AcTb2Er structure. The functional is PBE-GGA.

SG = R3m (160)
Energy of formation from the pure elements = 0.0637 eV/atom
DFT total energy = -4.419 eV/atom
Crystal system = trigonal

Cell and atoms, written as POSCAR:
```
AcTb2Er
1.0
1.840 1.062 11.808
-1.840 1.062 11.808
0.000 -2.124 11.808
Ac Tb Er
1 2 1
Cartesian
0.000 0.000 0.000
0.000 0.000 8.719
0.000 0.000 14.926
0.000 0.000 29.544
```

This record from the Alexandria database describes a geometry-optimized AcTb4Er structure. The functional is PBE-GGA.

SG = C2/c (15)
Energy of formation from the pure elements = 0.0555 eV/atom
DFT total energy = -4.477 eV/atom
Crystal system = monoclinic

Cell and atoms, written as POSCAR:
```
AcTb4Er
1.0
5.364 -6.698 0.000
5.364 6.698 0.000
-3.602 0.000 5.648
Ac Tb Er
2 8 2
Cartesian
2.663 5.702 4.236
4.464 -5.702 1.412
0.871 2.468 4.255
2.731 1.054 1.427
0.930 -1.054 4.251
4.456 2.468 4.216
2.672 -2.468 1.431
6.198 1.054 1.397
4.397 -1.054 4.220
6.256 -2.468 1.392
4.464 4.128 1.412
2.663 -4.128 4.236
```

This record from the Alexandria database describes a geometry-optimized Ac2Tb5Er6 structure. The functional is PBE-GGA.

SG = Pbam (55)
Energy of formation from the pure elements = 0.1199 eV/atom
DFT total energy = -4.399 eV/atom
Crystal system = orthorhombic

Cell and atoms, written as POSCAR:
```
Ac2Tb5Er6
1.0
11.874 0.000 0.000
0.000 20.281 0.000
0.000 0.000 3.629
Ac Tb Er
4 10 12
Cartesian
1.917 4.509 0.000
4.020 14.649 0.000
7.854 5.631 0.000
9.958 15.772 0.000
0.000 10.140 1.814
1.182 15.888 1.814
2.380 1.057 1.814
3.557 11.197 1.814
4.755 5.747 1.814
5.937 0.000 1.814
7.120 14.533 1.814
8.317 9.084 1.814
9.495 19.224 1.814
10.692 4.393 1.814
0.713 18.769 0.000
0.877 12.937 0.000
2.172 7.749 1.814
3.765 17.889 1.814
5.060 2.797 0.000
5.224 8.629 0.000
6.650 11.652 0.000
6.814 17.484 0.000
8.109 2.392 1.814
9.703 12.532 1.814
10.997 7.343 0.000
11.162 1.511 0.000
```